1.
PBE-GGA KNpCuCl5, relaxed; formation energy from raw total energies = -11.635 eV per formula unit
1.0
-4.420 -2.529 5.362
2.223 -5.888 -3.883
8.413 2.719 5.057
K Np Cu Cl
2 2 2 10
direct
0.356 0.644 0.250
0.644 0.356 0.750
0.000 0.000 0.500
0.000 0.000 0.000
0.690 0.310 0.250
0.310 0.690 0.750
0.088 0.912 0.250
0.912 0.088 0.750
0.917 0.323 0.124
0.083 0.677 0.876
0.677 0.083 0.376
0.323 0.917 0.624
0.753 0.613 0.422
0.247 0.387 0.578
0.387 0.247 0.078
0.613 0.753 0.922

2.
PBE-GGA Pm6Dy8In, relaxed; energy of formation from the pure elements = 0.07 eV per atom
1.0
6.416 0.000 0.000
0.000 8.151 -4.706
0.000 0.000 9.412
Pm Dy In
6 8 1
direct
0.680 0.641 0.090
0.680 0.910 0.551
0.680 0.449 0.359
0.320 0.359 0.910
0.320 0.090 0.449
0.320 0.551 0.641
0.814 0.038 0.264
0.814 0.736 0.774
0.814 0.226 0.962
0.186 0.962 0.736
0.186 0.264 0.226
0.186 0.774 0.038
0.838 0.333 0.667
0.162 0.667 0.333
0.500 0.000 0.000

3.
PBE-GGA GdScPd2, relaxed; energy of formation from the pure elements = -0.85 eV per atom
1.0
-2.926 0.209 1.616
0.929 -2.514 2.008
2.858 4.701 4.565
Sc Gd Pd
1 1 2
direct
0.500 0.500 0.000
0.500 0.500 0.500
0.000 0.000 0.780
0.000 0.000 0.220

What did the first record say?
PBE-GGA KNpCuCl5, relaxed; formation energy from raw total energies = -11.635 eV per formula unit
1.0
-4.420 -2.529 5.362
2.223 -5.888 -3.883
8.413 2.719 5.057
K Np Cu Cl
2 2 2 10
direct
0.356 0.644 0.250
0.644 0.356 0.750
0.000 0.000 0.500
0.000 0.000 0.000
0.690 0.310 0.250
0.310 0.690 0.750
0.088 0.912 0.250
0.912 0.088 0.750
0.917 0.323 0.124
0.083 0.677 0.876
0.677 0.083 0.376
0.323 0.917 0.624
0.753 0.613 0.422
0.247 0.387 0.578
0.387 0.247 0.078
0.613 0.753 0.922

Copy entry 2 word for word.
PBE-GGA Pm6Dy8In, relaxed; energy of formation from the pure elements = 0.07 eV per atom
1.0
6.416 0.000 0.000
0.000 8.151 -4.706
0.000 0.000 9.412
Pm Dy In
6 8 1
direct
0.680 0.641 0.090
0.680 0.910 0.551
0.680 0.449 0.359
0.320 0.359 0.910
0.320 0.090 0.449
0.320 0.551 0.641
0.814 0.038 0.264
0.814 0.736 0.774
0.814 0.226 0.962
0.186 0.962 0.736
0.186 0.264 0.226
0.186 0.774 0.038
0.838 0.333 0.667
0.162 0.667 0.333
0.500 0.000 0.000